Entry 1:
VASP calculation (SCAN) on AlTlCl2 at its PBEsol-relaxed geometry.

```
data_AlTlCl2
_chemical_formula_sum 'Al1 Tl1 Cl2'
_cell_length_a 5.185
_cell_length_b 5.185
_cell_length_c 3.656
_cell_angle_alpha 90.00
_cell_angle_beta 90.00
_cell_angle_gamma 90.00
_symmetry_space_group_name_H-M 'P 1'
_symmetry_Int_Tables_number 1
_symmetry_space_group_name_Hall 'P 1'
loop_
_atom_site_label
_atom_site_type_symbol
_atom_site_fract_x
_atom_site_fract_y
_atom_site_fract_z
Al1 Al 0.000 0.000 0.000
Tl1 Tl 0.500 0.500 0.000
Cl1 Cl 0.000 0.500 0.500
Cl2 Cl 0.500 0.000 0.500
```

Total magnetic moment: 0.0 Bohr magnetons per cell
Mass density: 5.11 g cm⁻³
Formation energy from raw total energies: -0.61 eV/atom
SG: P4/mmm (123)


Entry 2:
VASP calculation (SCAN) on AlTlCl2 at its PBEsol-relaxed geometry.

```
data_AlTlCl2
_chemical_formula_sum 'Al1 Tl1 Cl2'
_cell_length_a 6.879
_cell_length_b 6.879
_cell_length_c 6.879
_cell_angle_alpha 151.36
_cell_angle_beta 139.16
_cell_angle_gamma 50.64
_symmetry_space_group_name_H-M 'P 1'
_symmetry_Int_Tables_number 1
_symmetry_space_group_name_Hall 'P 1'
loop_
_atom_site_label
_atom_site_type_symbol
_atom_site_fract_x
_atom_site_fract_y
_atom_site_fract_z
Al1 Al 0.000 0.000 0.000
Tl1 Tl 0.794 0.294 0.500
Cl1 Cl 0.145 0.645 0.500
Cl2 Cl 0.459 0.459 0.000
```

Total magnetic moment: 0.0 Bohr magnetons per cell
Mass density: 4.94 g cm⁻³
Formation energy from raw total energies: -0.68 eV/atom
SG: Imm2 (44)


Entry 3:
VASP calculation (SCAN) on AlTl2Cl at its PBEsol-relaxed geometry.

```
data_AlTl2Cl
_chemical_formula_sum 'Al1 Tl2 Cl1'
_cell_length_a 6.258
_cell_length_b 6.258
_cell_length_c 6.258
_cell_angle_alpha 139.50
_cell_angle_beta 139.50
_cell_angle_gamma 58.61
_symmetry_space_group_name_H-M 'P 1'
_symmetry_Int_Tables_number 1
_symmetry_space_group_name_Hall 'P 1'
loop_
_atom_site_label
_atom_site_type_symbol
_atom_site_fract_x
_atom_site_fract_y
_atom_site_fract_z
Al1 Al 0.000 0.000 0.000
Tl1 Tl 0.250 0.750 0.500
Tl2 Tl 0.500 0.500 0.000
Cl1 Cl 0.750 0.250 0.500
```

Total magnetic moment: 0.0 Bohr magnetons per cell
Mass density: 7.64 g cm⁻³
Formation energy from raw total energies: -0.12 eV/atom
SG: I-4m2 (119)


Entry 4:
VASP calculation (SCAN) on Al2VCl8 at its PBEsol-relaxed geometry.

```
data_Al2VCl8
_chemical_formula_sum 'Al4 V2 Cl16'
_cell_length_a 9.395
_cell_length_b 9.395
_cell_length_c 11.515
_cell_angle_alpha 125.57
_cell_angle_beta 125.57
_cell_angle_gamma 50.06
_symmetry_space_group_name_H-M 'P 1'
_symmetry_Int_Tables_number 1
_symmetry_space_group_name_Hall 'P 1'
loop_
_atom_site_label
_atom_site_type_symbol
_atom_site_fract_x
_atom_site_fract_y
_atom_site_fract_z
Al1 Al 0.160 0.674 0.970
Al2 Al 0.326 0.840 0.530
Al3 Al 0.674 0.160 0.470
Al4 Al 0.840 0.326 0.030
V1 V 0.002 0.998 0.250
V2 V 0.998 0.002 0.750
Cl1 Cl 0.133 0.172 0.018
Cl2 Cl 0.143 0.691 0.781
Cl3 Cl 0.147 0.712 0.312
Cl4 Cl 0.172 0.133 0.518
Cl5 Cl 0.288 0.853 0.188
Cl6 Cl 0.309 0.857 0.719
Cl7 Cl 0.315 0.377 0.949
Cl8 Cl 0.377 0.315 0.449
Cl9 Cl 0.623 0.685 0.551
Cl10 Cl 0.685 0.623 0.051
Cl11 Cl 0.691 0.143 0.281
Cl12 Cl 0.712 0.147 0.812
Cl13 Cl 0.828 0.867 0.482
Cl14 Cl 0.853 0.288 0.688
Cl15 Cl 0.857 0.309 0.219
Cl16 Cl 0.867 0.828 0.982
```

Total magnetic moment: 6.0 Bohr magnetons per cell
Mass density: 2.16 g cm⁻³
Formation energy from raw total energies: -1.68 eV/atom
SG: C2/c (15)


Q: total magnetic moment of number 2 (AlTlCl2)?
A: 0.0 Bohr magnetons per cell